Material: Ca6Zn2N
Method: DFT, PBE
State: relaxed

## Properties
Uncorrected formation energy, meV per atom: -333
VASP energy, eV/atom: -2.88
Density of states at the Fermi level, states/eV per cell: 7.4
Crystal system: cubic
Excess energy over the best structure of this formula in the dataset, meV per atom: 0.0

The structure in POSCAR format:
```
Ca6Zn2N
1.0
0.000 5.000 5.000
5.000 0.000 5.000
5.000 5.000 0.000
Ca Zn N
6 2 1
Cartesian
5.000 5.000 2.399 Ca
5.000 2.399 5.000 Ca
7.601 5.000 5.000 Ca
2.399 5.000 5.000 Ca
5.000 7.601 5.000 Ca
5.000 5.000 7.601 Ca
2.500 2.500 2.500 Zn
7.500 7.500 7.500 Zn
0.000 0.000 0.000 N
```